Compound: Rb2Pt3
Source: Alexandria via LeMat-Bulk
Functional: PBE
Structure: optimized geometry

Cell: 6.253 6.253 6.253 Å, 49.64 49.64 49.64°
Sites, in units of the cell vectors:
Pt 0.156 0.156 0.156
Rb 0.607 0.607 0.607
Pt 0.844 0.844 0.844
Rb 0.393 0.393 0.393
Pt 0.000 0.000 0.000

The symmetry is No. 166. The value obtained for the formation energy is 368 meV per atom. For the magnetic moment, the calculation gives 0.00 μB/f.u. The density of states at the Fermi level is 1.68 states/eV/atom.